Density functional theory data (GGA-PBE) for crystalline Sm5DyEr6 at its relaxed geometry.

For the magnetic moment, the calculation gives 0.00 μB/f.u. Its formation energy is 0.0188 eV per atom. The value obtained for the density is 8.33 g/cm3.

a = 5.0399 Å, b = 10.0205 Å, c = 9.4186 Å
α = 122.14°, β = 105.52°, γ = 90.00°
Last column: nearest neighbours and their distance in Å.
Element x y z (fractional)
Er 0.8335 0.5840 0.6670  1 Dy 3.55, 7 Sm 3.55-3.57, 4 Er 3.56-3.57
Sm 0.3333 0.3333 0.6665  8 Er 3.55-3.56, 4 Sm 3.57
Er 0.1665 0.9170 0.3330  1 Dy 3.55, 7 Sm 3.55-3.57, 4 Er 3.56-3.57
Er 0.5000 0.7509 0.0000  6 Sm 3.54-3.56, 2 Dy 3.55, 4 Er 3.56
Sm 0.0000 0.5000 0.0000  8 Er 3.56, 4 Sm 3.57
Er 0.5000 0.2491 0.0000  6 Sm 3.54-3.56, 2 Dy 3.55, 4 Er 3.56
Dy 0.0000 0.0000 0.0000  8 Er 3.55, 4 Sm 3.56
Er 0.8335 0.0830 0.6670  1 Dy 3.55, 7 Sm 3.55-3.57, 4 Er 3.56-3.57
Sm 0.6659 0.1659 0.3317  8 Er 3.54-3.57, 2 Dy 3.56, 2 Sm 3.57
Sm 0.3341 0.8341 0.6683  8 Er 3.54-3.57, 2 Dy 3.56, 2 Sm 3.57
Sm 0.6667 0.6667 0.3335  8 Er 3.55-3.56, 4 Sm 3.57
Er 0.1665 0.4160 0.3330  1 Dy 3.55, 7 Sm 3.55-3.57, 4 Er 3.56-3.57